Entry 1:
Below is a geometry-optimized KBRh3 structure, with properties calculated at the PBE level.

```
KBRh3
1.0
4.266 0.000 0.000
0.000 4.266 0.000
0.000 0.000 4.266
K B Rh
1 1 3
direct
0.000 0.000 0.000
0.500 0.500 0.500
0.000 0.500 0.500
0.500 0.000 0.500
0.500 0.500 0.000
```

Values from the calculation:
- E_form (eV per atom) = 0.290
- space-group type = Pm-3m
- DFT total energy (eV per atom) = -5.675
- calculated volume (Å³ per cell) = 77.62


Entry 2:
Below is a geometry-optimized KB3Rh structure, with properties calculated at the PBE level.

```
KB3Rh
1.0
4.161 0.000 0.000
0.000 4.161 0.000
0.000 0.000 4.161
K B Rh
1 3 1
direct
0.000 0.000 0.000
0.000 0.500 0.500
0.500 0.000 0.500
0.500 0.500 0.000
0.500 0.500 0.500
```

Values from the calculation:
- E_form (eV per atom) = 0.855
- space-group type = Pm-3m
- relative energy among the computed polymorphs (eV/f.u.) = 0.00
- DFT total energy (eV per atom) = -4.841
- calculated volume (Å³ per cell) = 72.07


Entry 3:
Below is a geometry-optimized KBRh structure, with properties calculated at the PBE level.

```
KBRh
1.0
3.967 0.000 0.000
0.000 3.967 0.000
0.000 0.000 9.855
K B Rh
2 2 2
direct
0.250 0.250 0.215
0.750 0.750 0.785
0.250 0.250 0.568
0.750 0.750 0.432
0.250 0.750 0.500
0.750 0.250 0.500
```

Values from the calculation:
- E_form (eV per atom) = -0.196
- space-group type = P4/nmm
- DFT total energy (eV per atom) = -5.238
- calculated volume (Å³ per cell) = 155.08


Entry 4:
Below is a geometry-optimized KB3Rh structure, with properties calculated at the PBE level.

```
KB3Rh
1.0
4.265 0.000 0.000
0.000 4.265 0.000
0.000 0.000 4.265
K B Rh
1 3 1
direct
0.000 0.000 0.000
0.000 0.000 0.500
0.000 0.500 0.000
0.500 0.000 0.000
0.500 0.500 0.500
```

Values from the calculation:
- E_form (eV per atom) = 3.562
- space-group type = Pm-3m
- relative energy among the computed polymorphs (eV/f.u.) = 13.54
- DFT total energy (eV per atom) = -2.134
- calculated volume (Å³ per cell) = 77.59


Entry 5:
Below is a geometry-optimized KBRh2 structure, with properties calculated at the PBE level.

```
KBRh2
1.0
-3.374 3.374 3.150
3.374 -3.374 3.150
3.374 3.374 -3.150
K B Rh
2 2 4
direct
0.000 0.000 0.000
0.750 0.250 0.500
0.250 0.750 0.500
0.500 0.500 0.000
0.254 0.125 0.629
0.375 0.746 0.871
0.496 0.625 0.371
0.875 0.504 0.129
```

Values from the calculation:
- E_form (eV per atom) = 0.366
- space-group type = I-42d
- DFT total energy (eV per atom) = -5.254
- calculated volume (Å³ per cell) = 143.45


Entry 6:
Below is a geometry-optimized KB6Rh12 structure, with properties calculated at the PBE level.

```
KB6Rh12
1.0
5.133 2.964 2.706
-5.133 2.964 2.706
0.000 -5.928 2.706
K B Rh
1 6 12
direct
0.000 0.000 0.000
0.235 0.235 0.670
0.235 0.670 0.235
0.330 0.765 0.765
0.670 0.235 0.235
0.765 0.330 0.765
0.765 0.765 0.330
0.133 0.500 0.867
0.133 0.867 0.500
0.187 0.456 0.456
0.456 0.187 0.456
0.456 0.456 0.187
0.500 0.133 0.867
0.500 0.867 0.133
0.544 0.544 0.813
0.544 0.813 0.544
0.813 0.544 0.544
0.867 0.133 0.500
0.867 0.500 0.133
```

Values from the calculation:
- E_form (eV per atom) = -0.223
- space-group type = R-3m
- DFT total energy (eV per atom) = -7.033
- calculated volume (Å³ per cell) = 246.98


Entry 7:
Below is a geometry-optimized K3BRu structure, with properties calculated at the PBE level.

```
K3BRu
1.0
5.935 0.000 0.000
0.000 5.935 0.000
0.000 0.000 5.935
K B Ru
3 1 1
direct
0.000 0.000 0.500
0.000 0.500 0.000
0.500 0.000 0.000
0.000 0.000 0.000
0.500 0.500 0.500
```

Values from the calculation:
- E_form (eV per atom) = 1.717
- space-group type = Pm-3m
- relative energy among the computed polymorphs (eV/f.u.) = 0.00
- DFT total energy (eV per atom) = -2.132
- calculated volume (Å³ per cell) = 209.08


Entry 8:
Below is a geometry-optimized KBRu2 structure, with properties calculated at the PBE level.

```
KBRu2
1.0
-3.182 3.182 4.508
3.182 -3.182 4.508
3.182 3.182 -4.508
K B Ru
2 2 4
direct
0.375 0.625 0.750
0.625 0.375 0.250
0.125 0.875 0.250
0.875 0.125 0.750
0.000 0.000 0.000
0.000 0.000 0.500
0.000 0.500 0.000
0.500 0.000 0.500
```

Values from the calculation:
- E_form (eV per atom) = 0.978
- space-group type = I4_1/amd
- DFT total energy (eV per atom) = -5.604
- calculated volume (Å³ per cell) = 182.55


Entry 9:
Below is a geometry-optimized KB3Ru structure, with properties calculated at the PBE level.

```
KB3Ru
1.0
4.150 0.000 0.000
0.000 4.150 0.000
0.000 0.000 4.150
K B Ru
1 3 1
direct
0.000 0.000 0.000
0.000 0.000 0.500
0.000 0.500 0.000
0.500 0.000 0.000
0.500 0.500 0.500
```

Values from the calculation:
- E_form (eV per atom) = 3.725
- space-group type = Pm-3m
- relative energy among the computed polymorphs (eV/f.u.) = 15.51
- DFT total energy (eV per atom) = -2.356
- calculated volume (Å³ per cell) = 71.47


Entry 10:
Below is a geometry-optimized KB3Ru structure, with properties calculated at the PBE level.

```
KB3Ru
1.0
4.184 0.000 0.000
0.000 4.184 0.000
0.000 0.000 4.184
K B Ru
1 3 1
direct
0.000 0.000 0.000
0.000 0.500 0.500
0.500 0.000 0.500
0.500 0.500 0.000
0.500 0.500 0.500
```

Values from the calculation:
- E_form (eV per atom) = 0.622
- space-group type = Pm-3m
- relative energy among the computed polymorphs (eV/f.u.) = 0.00
- DFT total energy (eV per atom) = -5.459
- calculated volume (Å³ per cell) = 73.23


Entry 11:
Below is a geometry-optimized KSiBRu2 structure, with properties calculated at the PBE level.

```
KSiBRu2
1.0
4.679 0.000 0.000
0.000 4.679 0.000
0.000 0.000 4.119
K Si B Ru
1 1 1 2
direct
0.000 0.000 0.000
0.500 0.500 0.500
0.000 0.000 0.500
0.000 0.500 0.000
0.500 0.000 0.000
```

Values from the calculation:
- space-group type = P4/mmm
- DFT total energy (eV per atom) = -3.217
- calculated volume (Å³ per cell) = 90.20


Entry 12:
Below is a geometry-optimized K2TaBRu structure, with properties calculated at the PBE level.

```
K2TaBRu
1.0
5.619 0.000 0.000
0.000 5.619 0.000
0.000 0.000 4.343
K Ta B Ru
2 1 1 1
direct
0.000 0.500 0.000
0.500 0.000 0.000
0.000 0.000 0.500
0.000 0.000 0.000
0.500 0.500 0.500
```

Values from the calculation:
- E_form (eV per atom) = 1.902
- space-group type = P4/mmm
- DFT total energy (eV per atom) = -4.098
- calculated volume (Å³ per cell) = 137.12


Entry 13:
Below is a geometry-optimized KTiB2Ru structure, with properties calculated at the PBE level.

```
KTiB2Ru
1.0
4.130 0.000 0.000
0.000 4.130 0.000
0.000 0.000 5.104
K Ti B Ru
1 1 2 1
direct
0.000 0.000 0.000
0.500 0.500 0.000
0.000 0.500 0.500
0.500 0.000 0.500
0.000 0.000 0.500
```

Values from the calculation:
- E_form (eV per atom) = 1.566
- space-group type = P4/mmm
- DFT total energy (eV per atom) = -4.759
- calculated volume (Å³ per cell) = 87.06


Entry 14:
Below is a geometry-optimized K2ZnBRu structure, with properties calculated at the PBE level.

```
K2ZnBRu
1.0
5.768 0.000 0.000
0.000 5.768 0.000
0.000 0.000 4.823
K Zn B Ru
2 1 1 1
direct
0.000 0.500 0.000
0.500 0.000 0.000
0.000 0.000 0.500
0.500 0.500 0.500
0.000 0.000 0.000
```

Values from the calculation:
- E_form (eV per atom) = 1.707
- space-group type = P4/mmm
- DFT total energy (eV per atom) = -2.177
- calculated volume (Å³ per cell) = 160.45


Entry 15:
Below is a geometry-optimized K4B2S5 structure, with properties calculated at the PBE level.

```
K4B2S5
1.0
5.345 -3.679 0.000
5.345 3.679 0.000
-2.215 0.000 8.186
K B S
4 2 5
direct
0.000 0.000 0.000
0.354 0.354 0.260
0.567 0.567 0.968
0.745 0.745 0.585
0.093 0.093 0.416
0.213 0.213 0.797
0.055 0.055 0.627
0.064 0.492 0.887
0.323 0.889 0.323
0.492 0.064 0.887
0.889 0.323 0.323
```

Values from the calculation:
- space-group type = Cm
- DFT total energy (eV per atom) = -4.416
- calculated volume (Å³ per cell) = 321.90


Entry 16:
Below is a geometry-optimized K2BS structure, with properties calculated at the PBE level.

```
K2BS
1.0
-2.541 2.541 9.854
2.541 -2.541 9.854
2.541 2.541 -9.854
K B S
4 2 2
direct
0.121 0.625 0.996
0.375 0.371 0.496
0.629 0.125 0.004
0.875 0.879 0.504
0.250 0.750 0.500
0.500 0.500 0.000
0.000 0.000 0.000
0.750 0.250 0.500
```

Values from the calculation:
- space-group type = I-42d
- relative energy among the computed polymorphs (eV/f.u.) = 0.74
- DFT total energy (eV per atom) = -2.516
- calculated volume (Å³ per cell) = 254.56


Entry 17:
Below is a geometry-optimized K4BS4 structure, with properties calculated at the PBE level.

```
K4BS4
1.0
8.661 0.000 0.000
0.000 8.661 0.000
0.000 0.000 6.550
K B S
8 2 8
direct
0.022 0.250 0.094
0.250 0.022 0.594
0.250 0.478 0.594
0.478 0.250 0.094
0.522 0.750 0.906
0.750 0.522 0.406
0.750 0.978 0.406
0.978 0.750 0.906
0.250 0.750 0.250
0.750 0.250 0.750
0.057 0.750 0.407
0.250 0.557 0.093
0.250 0.943 0.093
0.443 0.750 0.407
0.557 0.250 0.593
0.750 0.057 0.907
0.750 0.443 0.907
0.943 0.250 0.593
```

Values from the calculation:
- space-group type = P4_2/nmc
- relative energy among the computed polymorphs (eV/f.u.) = 0.00
- DFT total energy (eV per atom) = -3.936
- calculated volume (Å³ per cell) = 491.40


Entry 18:
Below is a geometry-optimized K3B2S4 structure, with properties calculated at the PBE level.

```
K3B2S4
1.0
5.926 -4.748 0.000
5.926 4.748 0.000
-2.370 0.000 9.025
K B S
6 4 8
direct
0.032 0.968 0.750
0.199 0.480 0.344
0.480 0.199 0.844
0.520 0.801 0.156
0.801 0.520 0.656
0.968 0.032 0.250
0.097 0.345 0.001
0.345 0.097 0.501
0.655 0.903 0.499
0.903 0.655 0.999
0.146 0.239 0.567
0.157 0.575 0.009
0.239 0.146 0.067
0.425 0.843 0.491
0.575 0.157 0.509
0.761 0.854 0.933
0.843 0.425 0.991
0.854 0.761 0.433
```

Values from the calculation:
- space-group type = C2/c
- DFT total energy (eV per atom) = -4.444
- calculated volume (Å³ per cell) = 507.87


Entry 19:
Below is a geometry-optimized K4BS4 structure, with properties calculated at the PBE level.

```
K4BS4
1.0
-4.628 4.628 3.073
4.628 -4.628 3.073
4.628 4.628 -3.073
K B S
4 1 4
direct
0.085 0.290 0.375
0.290 0.915 0.205
0.710 0.085 0.795
0.915 0.710 0.625
0.500 0.500 0.000
0.289 0.565 0.854
0.435 0.289 0.724
0.565 0.711 0.276
0.711 0.435 0.146
```

Values from the calculation:
- space-group type = I4/m
- relative energy among the computed polymorphs (eV/f.u.) = 2.89
- DFT total energy (eV per atom) = -3.615
- calculated volume (Å³ per cell) = 263.22


Entry 20:
Below is a geometry-optimized K8B3S8 structure, with properties calculated at the PBE level.

```
K8B3S8
1.0
11.305 -3.155 0.000
11.305 3.155 0.000
-2.816 0.000 8.446
K B S
8 3 8
direct
0.029 0.029 0.251
0.199 0.199 0.793
0.325 0.325 0.537
0.383 0.383 0.062
0.617 0.617 0.938
0.675 0.675 0.463
0.801 0.801 0.207
0.971 0.971 0.749
0.184 0.184 0.197
0.500 0.500 0.500
0.816 0.816 0.803
0.113 0.113 0.019
0.175 0.175 0.395
0.261 0.261 0.171
0.481 0.481 0.672
0.519 0.519 0.328
0.739 0.739 0.829
0.825 0.825 0.605
0.887 0.887 0.981
```

Values from the calculation:
- space-group type = C2/m
- DFT total energy (eV per atom) = -4.153
- calculated volume (Å³ per cell) = 602.46


Results for D(E_F): 5.3 4.0 1.8 5.7 1.4 19.5 42.7 3.3 4.0 0.1 5.5 7.5 7.2 6.0 0.0 0.0 6.9 2.2 1.3 5.0 (in states/eV/f.u., following the order of the records).